1.
A plane-wave DFT calculation with GGA-PBE was carried out for crystalline Ag2IF5 at its relaxed geometry.

a = 5.545 Å, b = 5.545 Å, c = 10.438 Å
α = 90.00°, β = 90.00°, γ = 90.00°
Atoms (fractional coordinates):
Ag 0.000 0.500 0.000
Ag 0.000 0.500 0.500
Ag 0.500 0.000 0.000
Ag 0.500 0.000 0.500
I 0.000 0.000 0.178
I 0.500 0.500 0.678
F 0.000 0.000 0.455
F 0.241 0.241 0.671
F 0.241 0.759 0.671
F 0.259 0.259 0.171
F 0.259 0.741 0.171
F 0.500 0.500 0.955
F 0.741 0.259 0.171
F 0.741 0.741 0.171
F 0.759 0.241 0.671
F 0.759 0.759 0.671

## Properties
V = 321 Å³ per cell
Energy relative to the elements, uncorrected = -930 meV/atom
E_tot = -3.01 eV/atom

=====

2.
A plane-wave DFT calculation with GGA-PBE was carried out for crystalline Pr5Nd5Bi6 at its relaxed geometry.

a = 6.627 Å, b = 9.553 Å, c = 9.553 Å
α = 119.90°, β = 90.00°, γ = 90.00°
Atoms (fractional coordinates):
Pr 0.000 0.000 0.000
Pr 0.000 0.248 0.495
Pr 0.000 0.495 0.248
Pr 0.500 0.001 0.248
Pr 0.500 0.248 0.001
Nd 0.250 0.581 0.915
Nd 0.250 0.915 0.581
Nd 0.500 0.496 0.496
Nd 0.750 0.581 0.915
Nd 0.750 0.915 0.581
Bi 0.000 0.248 0.860
Bi 0.000 0.636 0.636
Bi 0.000 0.860 0.248
Bi 0.500 0.249 0.636
Bi 0.500 0.636 0.249
Bi 0.500 0.859 0.859

## Properties
V = 524 Å³ per cell
E_form = -0.782 eV per atom
E_tot = -5.22 eV/atom

=====

3.
A plane-wave DFT calculation with GGA-PBE was carried out for crystalline Tc7Te6 at its relaxed geometry.

a = 12.323 Å, b = 12.323 Å, c = 12.323 Å
α = 24.90°, β = 24.90°, γ = 24.90°
Atoms (fractional coordinates):
Tc 0.000 0.000 0.000
Tc 0.097 0.097 0.596
Tc 0.097 0.596 0.097
Tc 0.404 0.903 0.903
Tc 0.596 0.097 0.097
Tc 0.903 0.404 0.903
Tc 0.903 0.903 0.404
Te 0.134 0.134 0.134
Te 0.327 0.327 0.327
Te 0.432 0.432 0.432
Te 0.568 0.568 0.568
Te 0.673 0.673 0.673
Te 0.866 0.866 0.866

## Properties
V = 292 Å³ per cell
Energy relative to the elements, uncorrected = 393 meV/atom
E_tot = -6.64 eV/atom

=====

4.
A plane-wave DFT calculation with GGA-PBE was carried out for crystalline MgTlGa at its relaxed geometry.

a = 3.498 Å, b = 5.277 Å, c = 8.313 Å
α = 101.34°, β = 90.19°, γ = 109.01°
Atoms (fractional coordinates):
Mg 0.090 0.182 0.202
Mg 0.910 0.818 0.798
Tl 0.162 0.308 0.610
Tl 0.838 0.692 0.390
Ga 0.353 0.710 0.066
Ga 0.647 0.290 0.934

## Properties
V = 142 Å³ per cell
E_form = -0.015 eV per atom
E_tot = -2.34 eV/atom

=====

5.
A plane-wave DFT calculation with GGA-PBE was carried out for crystalline TbPm2Te at its relaxed geometry.

a = 3.983 Å, b = 3.983 Å, c = 29.583 Å
α = 90.00°, β = 90.00°, γ = 120.00°
Atoms (fractional coordinates):
Tb 0.000 0.000 0.000
Tb 0.333 0.667 0.667
Tb 0.667 0.333 0.333
Pm 0.000 0.000 0.573
Pm 0.000 0.000 0.761
Pm 0.333 0.667 0.239
Pm 0.333 0.667 0.428
Pm 0.667 0.333 0.095
Pm 0.667 0.333 0.906
Te 0.000 0.000 0.167
Te 0.333 0.667 0.834
Te 0.667 0.333 0.500

## Properties
V = 406 Å³ per cell
Energy relative to the lowest polymorph listed for this composition = 11 kJ/mol of formula units
Energy relative to the elements, uncorrected = -549 meV/atom
E_tot = -4.87 eV/atom

=====

6.
A plane-wave DFT calculation with GGA-PBE was carried out for crystalline La4Pd2I3 at its relaxed geometry.

a = 4.317 Å, b = 4.317 Å, c = 20.064 Å
α = 90.05°, β = 90.05°, γ = 60.01°
Atoms (fractional coordinates):
La 0.001 0.001 0.291
La 0.334 0.334 0.126
La 0.666 0.666 0.874
La 0.999 0.999 0.709
Pd 0.333 0.333 0.796
Pd 0.667 0.667 0.204
I 0.000 0.000 0.000
I 0.334 0.334 0.401
I 0.666 0.666 0.599

## Properties
V = 324 Å³ per cell
Energy relative to the elements, uncorrected = -1066 meV/atom
E_tot = -4.93 eV/atom

=====

7.
A plane-wave DFT calculation with GGA-PBE was carried out for crystalline SrNi2Se at its relaxed geometry.

a = 4.196 Å, b = 5.720 Å, c = 6.930 Å
α = 90.00°, β = 90.00°, γ = 90.00°
Atoms (fractional coordinates):
Sr 0.000 0.000 0.000
Sr 0.500 0.500 0.500
Ni 0.000 0.000 0.475
Ni 0.000 0.500 0.163
Ni 0.500 0.000 0.663
Ni 0.500 0.500 0.975
Se 0.000 0.500 0.829
Se 0.500 0.000 0.329

## Properties
V = 166 Å³ per cell
Energy relative to the elements, uncorrected = -186 meV/atom
E_tot = -4.37 eV/atom

=====

8.
A plane-wave DFT calculation with GGA-PBE was carried out for crystalline MgPtRhC2 at its relaxed geometry.

a = 3.880 Å, b = 3.880 Å, c = 5.212 Å
α = 90.00°, β = 90.00°, γ = 90.00°
Atoms (fractional coordinates):
Mg 0.000 0.000 0.000
Pt 0.500 0.500 0.000
Rh 0.000 0.000 0.500
C 0.000 0.500 0.500
C 0.500 0.000 0.500

## Properties
V = 78 Å³ per cell
Energy relative to the lowest polymorph listed for this composition = 0 kJ/mol of formula units
E_form = 1.320 eV per atom
E_tot = -5.37 eV/atom

=====

- What is the E_tot in the sixth record?
  -4.93 eV/atom

=====

- Which of these has the lowest V?
  MgPtRhC2

=====

Repeat the seventh record exactly.
A plane-wave DFT calculation with GGA-PBE was carried out for crystalline SrNi2Se at its relaxed geometry.

a = 4.196 Å, b = 5.720 Å, c = 6.930 Å
α = 90.00°, β = 90.00°, γ = 90.00°
Atoms (fractional coordinates):
Sr 0.000 0.000 0.000
Sr 0.500 0.500 0.500
Ni 0.000 0.000 0.475
Ni 0.000 0.500 0.163
Ni 0.500 0.000 0.663
Ni 0.500 0.500 0.975
Se 0.000 0.500 0.829
Se 0.500 0.000 0.329

## Properties
V = 166 Å³ per cell
Energy relative to the elements, uncorrected = -186 meV/atom
E_tot = -4.37 eV/atom